This record from Alexandria via LeMat-Bulk describes a relaxed structure of Zr2IrCl. The functional is PBE.

Properties
Mass density = 7.242 g/cm3
Energy above the most stable polymorph in this dataset = 0.0 meV per atom
D(E_F) = 1.4 states/eV per cell

Cell lengths 4.130, 4.130, 7.935 Å; angles 114.87, 114.87, 51.83 degrees
Sites, in units of the cell vectors:
Zr 0.098 0.098 0.312
Zr 0.902 0.902 0.688
Ir 0.500 0.500 0.500
Cl 0.500 0.500 0.000

***

This record from Alexandria via LeMat-Bulk describes a relaxed structure of Cd3BPb. The functional is PBE.

Properties
Mass density = 4.912 g/cm3
ΔE_f = 1.421 eV/atom
Energy above the most stable polymorph in this dataset = 919.4 meV per atom
D(E_F) = 5.4 states/eV per cell

Cell lengths 5.726, 5.726, 5.726 Å; angles 90.00, 90.00, 90.00 degrees
Sites, in units of the cell vectors:
Cd 0.000 0.000 0.500
Cd 0.000 0.500 0.000
Cd 0.500 0.000 0.000
B 0.500 0.500 0.500
Pb 0.000 0.000 0.000

***

This record from Alexandria via LeMat-Bulk describes a relaxed structure of TlBTeI2. The functional is PBE.

Properties
Mass density = 4.546 g/cm3
Energy above the most stable polymorph in this dataset = 739.9 meV per atom
D(E_F) = 4.5 states/eV per cell

Cell lengths 6.104, 6.104, 5.849 Å; angles 90.00, 90.00, 90.00 degrees
Sites, in units of the cell vectors:
Tl 0.000 0.000 0.000
B 0.500 0.500 0.500
Te 0.000 0.000 0.500
I 0.000 0.500 0.000
I 0.500 0.000 0.000